The following is a GGA-PBE calculation of a geometry-optimized CuRhC2 structure, from Alexandria via LeMat-Bulk.

Calculated values
Calculated formation energy: 103.0 kJ/mol of atoms
Space group: I-42d
Size of the total moment: 0.00 μB/f.u.
E_tot: -6.41 eV/atom

Cell and atoms, written as extended XYZ:
```
16
Lattice="4.593 0.000 0.000 0.000 4.593 0.000 0.000 0.000 9.018" Properties=species:S:1:pos:R:3 pbc="T T T"
Cu 0.000 0.000 0.000
Cu 0.000 2.297 2.255
Cu 2.297 0.000 6.764
Cu 2.297 2.297 4.509
Rh 0.000 0.000 4.509
Rh 0.000 2.297 6.764
Rh 2.297 0.000 2.255
Rh 2.297 2.297 0.000
C 1.111 1.148 5.636
C 1.148 3.408 7.891
C 1.148 3.482 3.382
C 1.186 1.148 1.127
C 3.408 3.445 1.127
C 3.445 1.111 3.382
C 3.445 1.186 7.891
C 3.482 3.445 5.636
```

The following is a GGA-PBE calculation of a geometry-optimized CuRhC3 structure, from Alexandria via LeMat-Bulk.

Calculated values
Calculated formation energy: 238.6 kJ/mol of atoms
Space group: Pm-3m
Size of the total moment: 0.00 μB/f.u.
E_tot: -5.35 eV/atom

Cell and atoms, written as extended XYZ:
```
5
Lattice="3.975 0.000 0.000 0.000 3.975 0.000 0.000 0.000 3.975" Properties=species:S:1:pos:R:3 pbc="T T T"
Cu 0.000 0.000 0.000
Rh 1.988 1.988 1.988
C 0.000 1.988 1.988
C 1.988 0.000 1.988
C 1.988 1.988 0.000
```

The following is a GGA-PBE calculation of a geometry-optimized Cu3RhC structure, from Alexandria via LeMat-Bulk.

Calculated values
Calculated formation energy: 45.8 kJ/mol of atoms
Space group: Pm-3m
Size of the total moment: 0.00 μB/f.u.
E_tot: -5.30 eV/atom

Cell and atoms, written as extended XYZ:
```
5
Lattice="3.868 0.000 0.000 0.000 3.868 0.000 0.000 0.000 3.868" Properties=species:S:1:pos:R:3 pbc="T T T"
Cu 0.000 0.000 1.934
Cu 0.000 1.934 0.000
Cu 1.934 0.000 0.000
Rh 1.934 1.934 1.934
C 0.000 0.000 0.000
```

The following is a GGA-PBE calculation of a geometry-optimized CuRhC3 structure, from Alexandria via LeMat-Bulk.

Calculated values
Calculated formation energy: 255.2 kJ/mol of atoms
Space group: Pm-3m
Size of the total moment: 0.00 μB/f.u.
E_tot: -5.18 eV/atom

Cell and atoms, written as extended XYZ:
```
5
Lattice="3.769 0.000 0.000 0.000 3.769 0.000 0.000 0.000 3.769" Properties=species:S:1:pos:R:3 pbc="T T T"
Cu 0.000 0.000 0.000
Rh 1.885 1.885 1.885
C 0.000 0.000 1.885
C 0.000 1.885 0.000
C 1.885 0.000 0.000
```

The following is a GGA-PBE calculation of a geometry-optimized CuRh2C structure, from Alexandria via LeMat-Bulk.

Calculated values
Calculated formation energy: 28.7 kJ/mol of atoms
Space group: I-42d
Size of the total moment: 0.00 μB/f.u.
E_tot: -6.71 eV/atom

Cell and atoms, written as extended XYZ:
```
16
Lattice="6.332 0.000 0.000 0.000 6.332 0.000 0.000 0.000 5.062" Properties=species:S:1:pos:R:3 pbc="T T T"
Cu 0.000 0.000 0.000
Cu 0.000 3.166 1.265
Cu 3.166 0.000 3.796
Cu 3.166 3.166 2.531
Rh 0.969 1.583 3.164
Rh 1.583 4.135 4.429
Rh 1.583 5.363 1.898
Rh 2.197 1.583 0.633
Rh 4.135 4.749 0.633
Rh 4.749 0.969 1.898
Rh 4.749 2.197 4.429
Rh 5.363 4.749 3.164
C 0.000 0.000 2.531
C 0.000 3.166 3.796
C 3.166 0.000 1.265
C 3.166 3.166 0.000
```

The following is a GGA-PBE calculation of a geometry-optimized CuSbRh2C structure, from Alexandria via LeMat-Bulk.

Calculated values
Space group: P4/mmm
Size of the total moment: 0.00 μB/f.u.
E_tot: -6.21 eV/atom
Raw formation energy: 1.1 eV per formula unit

Cell and atoms, written as extended XYZ:
```
5
Lattice="4.188 0.000 0.000 0.000 4.188 0.000 0.000 0.000 4.041" Properties=species:S:1:pos:R:3 pbc="T T T"
Cu 0.000 0.000 0.000
Sb 2.094 2.094 0.000
Rh 0.000 2.094 2.020
Rh 2.094 0.000 2.020
C 0.000 0.000 2.020
```

The following is a GGA-PBE calculation of a geometry-optimized ScCuRh2C structure, from Alexandria via LeMat-Bulk.

Calculated values
Calculated formation energy: -21.4 kJ/mol of atoms
Space group: P4/mmm
Size of the total moment: 0.00 μB/f.u.
E_tot: -7.09 eV/atom

Cell and atoms, written as extended XYZ:
```
5
Lattice="4.013 0.000 0.000 0.000 4.013 0.000 0.000 0.000 4.372" Properties=species:S:1:pos:R:3 pbc="T T T"
Sc 0.000 0.000 0.000
Cu 2.006 2.006 0.000
Rh 0.000 2.006 2.186
Rh 2.006 0.000 2.186
C 0.000 0.000 2.186
```

The following is a GGA-PBE calculation of a geometry-optimized ScCu2RhC structure, from Alexandria via LeMat-Bulk.

Calculated values
Calculated formation energy: -0.2 kJ/mol of atoms
Space group: P4/mmm
Size of the total moment: 0.00 μB/f.u.
E_tot: -6.22 eV/atom

Cell and atoms, written as extended XYZ:
```
5
Lattice="3.911 0.000 0.000 0.000 3.911 0.000 0.000 0.000 4.294" Properties=species:S:1:pos:R:3 pbc="T T T"
Sc 0.000 0.000 0.000
Cu 0.000 1.956 2.147
Cu 1.956 0.000 2.147
Rh 1.956 1.956 0.000
C 1.956 1.956 2.147
```